Entry 1:
Here is crystalline ZrSc2Sb at its relaxed geometry from Alexandria via LeMat-Bulk. Energies are from PBE-GGA.

Cell: 5.494 5.494 3.200 Å, 90.00 90.00 108.81°
Fractional positions:
1 Zr 0.000 0.000 0.000
2 Sc 0.000 0.500 0.500
3 Sc 0.500 0.000 0.500
4 Sb 0.500 0.500 0.000

Symmetry = Cmmm, No. 65
Formation energy without anion corrections = -0.31 eV/atom

---

Entry 2:
Here is crystalline Na2AsPt2 at its relaxed geometry from Alexandria via LeMat-Bulk. Energies are from PBE-GGA.

Cell: 6.443 6.443 4.879 Å, 90.00 90.00 90.00°
Fractional positions:
1 Na 0.167 0.333 0.000
2 Na 0.333 0.833 0.000
3 Na 0.667 0.167 0.000
4 Na 0.833 0.667 0.000
5 As 0.000 0.000 0.500
6 As 0.500 0.500 0.500
7 Pt 0.148 0.648 0.500
8 Pt 0.352 0.148 0.500
9 Pt 0.648 0.852 0.500
10 Pt 0.852 0.352 0.500

Symmetry = P4/mbm, No. 127
ΔE to the lowest computed polymorph = 0.891 eV per formula unit
Energy relative to the elements = -308 meV/atom

---

Entry 3:
Here is crystalline KGaNi2W at its relaxed geometry from Alexandria via LeMat-Bulk. Energies are from PBE-GGA.

Cell: 4.629 4.629 4.918 Å, 90.00 90.00 90.00°
Fractional positions:
1 K 0.000 0.000 0.000
2 Ga 0.500 0.500 0.500
3 Ni 0.000 0.500 0.500
4 Ni 0.500 0.000 0.500
5 W 0.500 0.500 0.000

Symmetry = P4/mmm, No. 123
Energy relative to the elements = 1308 meV/atom

---

Entry 4:
Here is crystalline Pr7YHo4 at its relaxed geometry from Alexandria via LeMat-Bulk. Energies are from PBE-GGA.

Cell: 6.375 7.339 9.052 Å, 90.05 103.53 90.02°
Fractional positions:
1 Pr 0.000 0.000 0.000
2 Pr 0.222 0.500 0.665
3 Pr 0.282 0.751 0.336
4 Pr 0.499 0.246 0.003
5 Pr 0.501 0.754 0.997
6 Pr 0.718 0.249 0.664
7 Pr 0.778 0.500 0.335
8 Y 0.000 0.500 0.000
9 Ho 0.219 0.000 0.665
10 Ho 0.277 0.246 0.333
11 Ho 0.723 0.754 0.667
12 Ho 0.781 0.000 0.335

Symmetry = P-1, No. 2
ΔE to the lowest computed polymorph = 0.000 eV per formula unit
Energy relative to the elements = 9 meV/atom

---

Entry 5:
Here is crystalline SmTm2Th3 at its relaxed geometry from Alexandria via LeMat-Bulk. Energies are from PBE-GGA.

Cell: 9.413 9.413 6.186 Å, 90.03 90.03 44.19°
Fractional positions:
1 Sm 0.130 0.870 0.750
2 Sm 0.870 0.130 0.250
3 Tm 0.043 0.295 0.917
4 Tm 0.295 0.043 0.417
5 Tm 0.705 0.957 0.583
6 Tm 0.957 0.705 0.083
7 Th 0.213 0.454 0.583
8 Th 0.379 0.621 0.250
9 Th 0.454 0.213 0.083
10 Th 0.546 0.787 0.917
11 Th 0.621 0.379 0.750
12 Th 0.787 0.546 0.417

Symmetry = C2/c, No. 15
Energy relative to the elements = 46 meV/atom

---

Entry 6:
Here is crystalline Er2ZnGa2Co5 at its relaxed geometry from Alexandria via LeMat-Bulk. Energies are from PBE-GGA.

Cell: 9.360 9.360 3.385 Å, 90.00 90.00 90.00°
Fractional positions:
1 Er 0.174 0.326 0.000
2 Er 0.326 0.826 0.000
3 Er 0.674 0.174 0.000
4 Er 0.826 0.674 0.000
5 Zn 0.000 0.000 0.000
6 Zn 0.500 0.500 0.000
7 Ga 0.124 0.624 0.000
8 Ga 0.376 0.124 0.000
9 Ga 0.624 0.876 0.000
10 Ga 0.876 0.376 0.000
11 Co 0.000 0.500 0.500
12 Co 0.061 0.801 0.500
13 Co 0.199 0.061 0.500
14 Co 0.301 0.561 0.500
15 Co 0.439 0.301 0.500
16 Co 0.500 0.000 0.500
17 Co 0.561 0.699 0.500
18 Co 0.699 0.439 0.500
19 Co 0.801 0.939 0.500
20 Co 0.939 0.199 0.500

Symmetry = P4/mbm, No. 127
Energy relative to the elements = -160 meV/atom

---

| no. | VASP energy (Ry per atom) |
| --- | --- |
| 1 | -0.4880 |
| 2 | -0.3073 |
| 3 | -0.3249 |
| 4 | -0.3560 |
| 5 | -0.4367 |
| 6 | -0.3939 |